Pr5Dy3Ho2 | PBE | optimized geometry

Output
Space-group type ... Ibam (72)
E above lowest polymorph ... 0.192 eV/atom
ρ ... 7.02 Mg/m³
Crystal system ... orthorhombic
ΔE_f ... 365 meV/atom
Total moment ... 0.0 μB per formula unit
Uncorrected energy ... -4.32 eV per atom

CIF file:
```
data_Pr5Dy3Ho2
_cell_length_a 10.0121
_cell_length_b 10.0121
_cell_length_c 10.0121
_cell_angle_alpha 123.47
_cell_angle_beta 93.24
_cell_angle_gamma 113.07
_space_group_name_H-M_alt 'P 1'
_space_group_IT_number 1
_space_group_name_Hall 'P 1'
loop_
_atom_site_label
_atom_site_type_symbol
_atom_site_fract_x
_atom_site_fract_y
_atom_site_fract_z
Pr1 Pr 0.0042 0.7500 0.2542
Pr2 Pr 0.1308 0.1060 0.2368
Pr3 Pr 0.2500 0.2500 0.0000
Pr4 Pr 0.3692 0.6060 0.9752
Pr5 Pr 0.4958 0.7500 0.7458
Pr6 Pr 0.5042 0.2500 0.2542
Pr7 Pr 0.6308 0.3940 0.0248
Pr8 Pr 0.7500 0.7500 0.0000
Pr9 Pr 0.8692 0.8940 0.7632
Pr10 Pr 0.9958 0.2500 0.7458
Dy1 Dy 0.1226 0.7517 0.8743
Dy2 Dy 0.2500 0.7500 0.5000
Dy3 Dy 0.3774 0.2517 0.6291
Dy4 Dy 0.6226 0.7483 0.3709
Dy5 Dy 0.7500 0.2500 0.5000
Dy6 Dy 0.8774 0.2483 0.1257
Ho1 Ho 0.1183 0.4151 0.5335
Ho2 Ho 0.3817 0.9151 0.2968
Ho3 Ho 0.6183 0.0849 0.7032
Ho4 Ho 0.8817 0.5849 0.4665
```